No. 1
VASP calculation (PBE-GGA) on a relaxed Ti7Pd12Au crystal.

The space group is R-3 (No. 148, hexagonal axes) and the conventional cell measures 10.9670, 10.9670 and 9.1799 Å, with angles of 90.00, 90.00 and 120.00 degrees. The asymmetric unit holds Ti at (0.0000, 0.0000, 0.0000), Ti at (0.0900, 0.1834, 0.2532), Pd at (0.0006, 0.2610, 0.5013), Pd at (0.0662, 0.5312, 0.6221) and Au at (0.0000, 0.0000, 0.5000).

Its density of states at the Fermi level is 60.24 states/eV per cell. Its electronic total energy is -6.483 eV/atom.

---

No. 2
VASP calculation (PBE-GGA) on a relaxed DySc2Ti crystal.

The space group is P4/mmm (No. 123) and the conventional cell measures 4.544, 4.544 and 4.630 Å, with angles of 90.00, 90.00 and 90.00 degrees. The asymmetric unit holds Dy at (0.000, 0.000, 0.000), Sc at (0.000, 0.500, 0.500) and Ti at (0.500, 0.500, 0.000).

Its density of states at the Fermi level is 6.46 states/eV per cell. Its electronic total energy is -6.131 eV/atom. The polymorph energy (0 for the lowest one) comes out at 20.9 meV/atom.

---

No. 3
VASP calculation (PBE-GGA) on a relaxed Ce3Zn7Au4 crystal.

The space group is C2/m (No. 12) and the conventional cell measures 16.016, 4.555 and 9.099 Å, with angles of 90.00, 123.72 and 90.00 degrees. The asymmetric unit holds Ce at (0.000, 0.000, 0.000), Ce at (0.205, 0.500, 0.704), Zn at (0.000, 0.000, 0.500), Zn at (0.001, 0.500, 0.679), Zn at (0.140, 0.000, 0.430), Zn at (0.165, 0.500, 0.015), Au at (0.130, 0.000, 0.845) and Au at (0.153, 0.500, 0.290).

Its density of states at the Fermi level is 40.67 states/eV per cell. Its electronic total energy is -3.307 eV/atom.

---

No. 4
VASP calculation (PBE-GGA) on a relaxed La2ErSc crystal.

The space group is R-3m (No. 166, hexagonal axes) and the conventional cell measures 3.5882, 3.5882 and 34.0414 Å, with angles of 90.00, 90.00 and 120.00 degrees. The asymmetric unit holds La at (0.0000, 0.0000, 0.2471), Er at (0.0000, 0.0000, 0.0000) and Sc at (0.0000, 0.0000, 0.5000).

Its density of states at the Fermi level is 14.91 states/eV per cell. Its electronic total energy is -5.139 eV/atom. The polymorph energy (0 for the lowest one) comes out at 6.6 meV/atom.

---

No. 5
VASP calculation (PBE-GGA) on a relaxed KZr2Pd crystal.

The space group is I-42d (No. 122) and the conventional cell measures 5.227, 5.227 and 19.184 Å, with angles of 90.00, 90.00 and 90.00 degrees. The asymmetric unit holds K at (0.000, 0.000, 0.000), Zr at (0.058, 0.250, 0.625) and Pd at (0.000, 0.000, 0.500).

Its density of states at the Fermi level is 16.28 states/eV per cell. Its electronic total energy is -4.977 eV/atom. The polymorph energy (0 for the lowest one) comes out at 1034.8 meV/atom.

---

No. 6
VASP calculation (PBE-GGA) on a relaxed SrCuAsO4 crystal.

The space group is I-4 (No. 82) and the conventional cell measures 5.771, 5.771 and 7.100 Å, with angles of 90.00, 90.00 and 90.00 degrees. The asymmetric unit holds Sr at (0.000, 0.000, 0.000), Cu at (0.000, 0.000, 0.500), As at (0.000, 0.500, 0.250) and O at (0.151, 0.706, 0.379).

Its density of states at the Fermi level is 9.66 states/eV per cell. Its electronic total energy is -5.884 eV/atom. The calculation puts the formation energy without anion corrections at -150.6 kJ per mole of atoms.